No. 1
VASP calculation (PBE) on crystalline LaMn3N at its relaxed geometry.

Results
The formation energy from raw total energies comes out at 139.4 meV per atom. Its space group is Pm-3m, No. 221. Its crystal system is cubic. As for the energy above the most stable polymorph in this dataset: 0 meV per atom.

Geometry as CIF:
```
data_LaMn3N
_chemical_formula_sum 'La1 Mn3 N1'
_cell_length_a 4.2088
_cell_length_b 4.2088
_cell_length_c 4.2088
_cell_angle_alpha 90.00
_cell_angle_beta 90.00
_cell_angle_gamma 90.00
_symmetry_space_group_name_H-M 'P 1'
_symmetry_Int_Tables_number 1
loop_
_symmetry_equiv_pos_as_xyz
'x,y,z'
loop_
_atom_site_label
_atom_site_fract_x
_atom_site_fract_y
_atom_site_fract_z
La1 0.0000 0.0000 0.0000
Mn1 0.0000 0.5000 0.5000
Mn2 0.5000 0.0000 0.5000
Mn3 0.5000 0.5000 0.0000
N1 0.5000 0.5000 0.5000
```



No. 2
VASP calculation (PBE) on crystalline MnBe2Re at its relaxed geometry.

Results
Its space group is Pmmm, No. 47. Its crystal system is orthorhombic. As for the energy above the most stable polymorph in this dataset: 117 meV per atom.

Geometry as CIF:
```
data_MnBe2Re
_chemical_formula_sum 'Mn1 Be2 Re1'
_cell_length_a 2.5949
_cell_length_b 3.1351
_cell_length_c 5.3580
_cell_angle_alpha 90.00
_cell_angle_beta 90.00
_cell_angle_gamma 90.00
_symmetry_space_group_name_H-M 'P 1'
_symmetry_Int_Tables_number 1
loop_
_symmetry_equiv_pos_as_xyz
'x,y,z'
loop_
_atom_site_label
_atom_site_fract_x
_atom_site_fract_y
_atom_site_fract_z
Mn1 0.0000 0.0000 0.0000
Be1 0.5000 0.5000 0.2331
Be2 0.5000 0.5000 0.7669
Re1 0.0000 0.0000 0.5000
```



No. 3
VASP calculation (PBE) on crystalline YCd2Mo at its relaxed geometry.

Results
Its space group is Fm-3m, No. 225. Its crystal system is cubic. As for the energy above the most stable polymorph in this dataset: 98 meV per atom.

Geometry as CIF:
```
data_YCd2Mo
_chemical_formula_sum 'Y1 Cd2 Mo1'
_cell_length_a 4.9656
_cell_length_b 4.9656
_cell_length_c 4.9656
_cell_angle_alpha 60.00
_cell_angle_beta 60.00
_cell_angle_gamma 60.00
_symmetry_space_group_name_H-M 'P 1'
_symmetry_Int_Tables_number 1
loop_
_symmetry_equiv_pos_as_xyz
'x,y,z'
loop_
_atom_site_label
_atom_site_fract_x
_atom_site_fract_y
_atom_site_fract_z
Y1 0.0000 0.0000 0.0000
Cd1 0.2500 0.2500 0.2500
Cd2 0.7500 0.7500 0.7500
Mo1 0.5000 0.5000 0.5000
```



No. 4
VASP calculation (PBE) on crystalline TmZrHgOs at its relaxed geometry.

Results
Its space group is F-43m, No. 216. Its crystal system is cubic. As for the energy above the most stable polymorph in this dataset: 161 meV per atom.

Geometry as CIF:
```
data_TmZrHgOs
_chemical_formula_sum 'Tm1 Zr1 Hg1 Os1'
_cell_length_a 4.8777
_cell_length_b 4.8777
_cell_length_c 4.8777
_cell_angle_alpha 60.00
_cell_angle_beta 60.00
_cell_angle_gamma 60.00
_symmetry_space_group_name_H-M 'P 1'
_symmetry_Int_Tables_number 1
loop_
_symmetry_equiv_pos_as_xyz
'x,y,z'
loop_
_atom_site_label
_atom_site_fract_x
_atom_site_fract_y
_atom_site_fract_z
Tm1 0.0000 0.0000 0.0000
Zr1 0.5000 0.5000 0.5000
Hg1 0.7500 0.7500 0.7500
Os1 0.2500 0.2500 0.2500
```



No. 5
VASP calculation (PBE) on crystalline BeTcMo at its relaxed geometry.

Results
Its space group is F-43m, No. 216. Its crystal system is cubic. As for the energy above the most stable polymorph in this dataset: 689 meV per atom.

Geometry as CIF:
```
data_BeTcMo
_chemical_formula_sum 'Be1 Tc1 Mo1'
_cell_length_a 3.8898
_cell_length_b 3.8898
_cell_length_c 3.8898
_cell_angle_alpha 60.00
_cell_angle_beta 60.00
_cell_angle_gamma 60.00
_symmetry_space_group_name_H-M 'P 1'
_symmetry_Int_Tables_number 1
loop_
_symmetry_equiv_pos_as_xyz
'x,y,z'
loop_
_atom_site_label
_atom_site_fract_x
_atom_site_fract_y
_atom_site_fract_z
Be1 0.0000 0.0000 0.0000
Tc1 0.2500 0.2500 0.2500
Mo1 0.7500 0.7500 0.7500
```



No. 6
VASP calculation (PBE) on crystalline CoAu2Br2 at its relaxed geometry.

Results
The formation energy from raw total energies comes out at 613.6 meV per atom. Its space group is P4/mbm, No. 127. Its crystal system is tetragonal. As for the energy above the most stable polymorph in this dataset: 0 meV per atom.

Geometry as CIF:
```
data_CoAu2Br2
_chemical_formula_sum 'Co2 Au4 Br4'
_cell_length_a 6.9714
_cell_length_b 6.9714
_cell_length_c 4.4895
_cell_angle_alpha 90.00
_cell_angle_beta 90.00
_cell_angle_gamma 90.00
_symmetry_space_group_name_H-M 'P 1'
_symmetry_Int_Tables_number 1
loop_
_symmetry_equiv_pos_as_xyz
'x,y,z'
loop_
_atom_site_label
_atom_site_fract_x
_atom_site_fract_y
_atom_site_fract_z
Co1 0.0000 0.0000 0.0000
Co2 0.5000 0.5000 0.0000
Au1 0.1403 0.3597 0.0000
Au2 0.3597 0.8597 0.0000
Au3 0.6403 0.1403 0.0000
Au4 0.8597 0.6403 0.0000
Br1 0.1954 0.6954 0.5000
Br2 0.3046 0.1954 0.5000
Br3 0.6954 0.8046 0.5000
Br4 0.8046 0.3046 0.5000
```



No. 7
VASP calculation (PBE) on crystalline AgMoBr2 at its relaxed geometry.

Results
The formation energy from raw total energies comes out at 745.7 meV per atom. Its space group is Fm-3m, No. 225. Its crystal system is cubic. As for the energy above the most stable polymorph in this dataset: 602 meV per atom.

Geometry as CIF:
```
data_AgMoBr2
_chemical_formula_sum 'Ag1 Mo1 Br2'
_cell_length_a 4.7860
_cell_length_b 4.7860
_cell_length_c 4.7860
_cell_angle_alpha 60.00
_cell_angle_beta 60.00
_cell_angle_gamma 60.00
_symmetry_space_group_name_H-M 'P 1'
_symmetry_Int_Tables_number 1
loop_
_symmetry_equiv_pos_as_xyz
'x,y,z'
loop_
_atom_site_label
_atom_site_fract_x
_atom_site_fract_y
_atom_site_fract_z
Ag1 0.0000 0.0000 0.0000
Mo1 0.5000 0.5000 0.5000
Br1 0.2500 0.2500 0.2500
Br2 0.7500 0.7500 0.7500
```



No. 8
VASP calculation (PBE) on crystalline ZnRePt2 at its relaxed geometry.

Results
Its space group is Imm2, No. 44. As for the energy: -6.4407 eV/atom. Its crystal system is orthorhombic.

Geometry as CIF:
```
data_ZnRePt2
_chemical_formula_sum 'Zn1 Re1 Pt2'
_cell_length_a 5.4324
_cell_length_b 5.4324
_cell_length_c 5.4324
_cell_angle_alpha 150.54
_cell_angle_beta 128.50
_cell_angle_gamma 60.45
_symmetry_space_group_name_H-M 'P 1'
_symmetry_Int_Tables_number 1
loop_
_symmetry_equiv_pos_as_xyz
'x,y,z'
loop_
_atom_site_label
_atom_site_fract_x
_atom_site_fract_y
_atom_site_fract_z
Zn1 0.0000 0.0000 0.0000
Re1 0.7520 0.2520 0.5000
Pt1 0.2392 0.7392 0.5000
Pt2 0.5070 0.5070 0.0000
```



No. 9
VASP calculation (PBE) on crystalline Ca2Ga3AgGe4 at its relaxed geometry.

Results
Its space group is P-4m2, No. 115. As for the energy: -3.6970 eV/atom. Its crystal system is tetragonal.

Geometry as CIF:
```
data_Ca2Ga3AgGe4
_chemical_formula_sum 'Ca2 Ga3 Ag1 Ge4'
_cell_length_a 4.5618
_cell_length_b 4.5618
_cell_length_c 10.3279
_cell_angle_alpha 90.00
_cell_angle_beta 90.00
_cell_angle_gamma 90.00
_symmetry_space_group_name_H-M 'P 1'
_symmetry_Int_Tables_number 1
loop_
_symmetry_equiv_pos_as_xyz
'x,y,z'
loop_
_atom_site_label
_atom_site_fract_x
_atom_site_fract_y
_atom_site_fract_z
Ca1 0.0000 0.5000 0.2435
Ca2 0.5000 0.0000 0.7565
Ga1 0.0000 0.0000 0.0000
Ga2 0.0000 0.5000 0.6269
Ga3 0.5000 0.0000 0.3731
Ag1 0.5000 0.5000 0.0000
Ge1 0.0000 0.0000 0.5000
Ge2 0.0000 0.5000 0.8662
Ge3 0.5000 0.0000 0.1338
Ge4 0.5000 0.5000 0.5000
```



No. 10
VASP calculation (PBE) on crystalline Ni5Mo2Rh2 at its relaxed geometry.

Results
Its space group is C2/m, No. 12. Its crystal system is monoclinic. As for the energy above the most stable polymorph in this dataset: 0 meV per atom.

Geometry as CIF:
```
data_Ni5Mo2Rh2
_chemical_formula_sum 'Ni5 Mo2 Rh2'
_cell_length_a 5.9031
_cell_length_b 5.9031
_cell_length_c 5.8366
_cell_angle_alpha 108.15
_cell_angle_beta 108.15
_cell_angle_gamma 36.51
_symmetry_space_group_name_H-M 'P 1'
_symmetry_Int_Tables_number 1
loop_
_symmetry_equiv_pos_as_xyz
'x,y,z'
loop_
_atom_site_label
_atom_site_fract_x
_atom_site_fract_y
_atom_site_fract_z
Ni1 0.0000 0.0000 0.0000
Ni2 0.1054 0.1054 0.6592
Ni3 0.2204 0.2204 0.3402
Ni4 0.7796 0.7796 0.6598
Ni5 0.8946 0.8946 0.3408
Mo1 0.4409 0.4409 0.6714
Mo2 0.5591 0.5591 0.3286
Rh1 0.3366 0.3366 0.0007
Rh2 0.6634 0.6634 0.9993
```



No. 11
VASP calculation (PBE) on crystalline CaH6PtO6 at its relaxed geometry.

Results
Its space group is P-31c, No. 163. As for the energy: -5.2903 eV/atom. Its crystal system is trigonal.

Geometry as CIF:
```
data_CaH6PtO6
_chemical_formula_sum 'Ca2 H12 Pt2 O12'
_cell_length_a 5.2993
_cell_length_b 5.2993
_cell_length_c 10.5030
_cell_angle_alpha 90.00
_cell_angle_beta 90.00
_cell_angle_gamma 120.00
_symmetry_space_group_name_H-M 'P 1'
_symmetry_Int_Tables_number 1
loop_
_symmetry_equiv_pos_as_xyz
'x,y,z'
loop_
_atom_site_label
_atom_site_fract_x
_atom_site_fract_y
_atom_site_fract_z
Ca1 0.3333 0.6667 0.2500
Ca2 0.6667 0.3333 0.7500
H1 0.1868 0.4341 0.6219
H2 0.1868 0.7527 0.8781
H3 0.2473 0.4341 0.8781
H4 0.2473 0.8132 0.6219
H5 0.4341 0.1868 0.1219
H6 0.4341 0.2473 0.3781
H7 0.5659 0.7527 0.6219
H8 0.5659 0.8132 0.8781
H9 0.7527 0.1868 0.3781
H10 0.7527 0.5659 0.1219
H11 0.8132 0.2473 0.1219
H12 0.8132 0.5659 0.3781
Pt1 0.0000 0.0000 0.0000
Pt2 0.0000 0.0000 0.5000
O1 0.0340 0.3280 0.8851
O2 0.0340 0.7060 0.6149
O3 0.2940 0.3280 0.6149
O4 0.2940 0.9660 0.8851
O5 0.3280 0.0340 0.3851
O6 0.3280 0.2940 0.1149
O7 0.6720 0.7060 0.8851
O8 0.6720 0.9660 0.6149
O9 0.7060 0.0340 0.1149
O10 0.7060 0.6720 0.3851
O11 0.9660 0.2940 0.3851
O12 0.9660 0.6720 0.1149
```



No. 12
VASP calculation (PBE) on crystalline Fe2CoSb at its relaxed geometry.

Results
The formation energy from raw total energies comes out at 223.7 meV per atom. Its space group is Pmm2, No. 25. Its crystal system is orthorhombic.

Geometry as CIF:
```
data_Fe2CoSb
_chemical_formula_sum 'Fe2 Co1 Sb1'
_cell_length_a 3.0874
_cell_length_b 4.1825
_cell_length_c 4.3252
_cell_angle_alpha 90.00
_cell_angle_beta 90.00
_cell_angle_gamma 90.00
_symmetry_space_group_name_H-M 'P 1'
_symmetry_Int_Tables_number 1
loop_
_symmetry_equiv_pos_as_xyz
'x,y,z'
loop_
_atom_site_label
_atom_site_fract_x
_atom_site_fract_y
_atom_site_fract_z
Fe1 0.0000 0.0000 0.0000
Fe2 0.0000 0.5000 0.3181
Co1 0.5000 0.0000 0.4618
Sb1 0.5000 0.5000 0.8268
```



No. 13
VASP calculation (PBE) on crystalline Li2GaIr2 at its relaxed geometry.

Results
Its space group is C2/m, No. 12. Its crystal system is monoclinic. As for the energy above the most stable polymorph in this dataset: 0 meV per atom.

Geometry as CIF:
```
data_Li2GaIr2
_chemical_formula_sum 'Li2 Ga1 Ir2'
_cell_length_a 4.2113
_cell_length_b 4.2113
_cell_length_c 4.9930
_cell_angle_alpha 114.80
_cell_angle_beta 114.80
_cell_angle_gamma 60.08
_symmetry_space_group_name_H-M 'P 1'
_symmetry_Int_Tables_number 1
loop_
_symmetry_equiv_pos_as_xyz
'x,y,z'
loop_
_atom_site_label
_atom_site_fract_x
_atom_site_fract_y
_atom_site_fract_z
Li1 0.1940 0.1940 0.0818
Li2 0.8060 0.8060 0.9182
Ga1 0.0000 0.0000 0.5000
Ir1 0.4023 0.4023 0.7061
Ir2 0.5977 0.5977 0.2939
```